Entry 1:
Density functional theory data (GGA-PBE) for a geometry-optimized CaAg2W structure.

Calculated values
* DFT formation energy: 0.798 eV per atom
* crystal system: tetragonal
* space group: I-4m2
* total moment: 2.18 μB/f.u.

Cell: 5.473 5.473 5.473 Å, 135.25 135.25 65.14°
Fractional positions:
Ca 0.500 0.500 0.000
Ag 0.000 0.000 0.000
Ag 0.250 0.750 0.500
W 0.750 0.250 0.500

=====

Entry 2:
Density functional theory data (GGA-PBE) for a geometry-optimized CaAgW3 structure.

Calculated values
* DFT formation energy: 2.517 eV per atom
* crystal system: cubic
* space group: Pm-3m
* total moment: 0.00 μB/f.u.

Cell: 4.904 4.904 4.904 Å, 90.00 90.00 90.00°
Fractional positions:
Ca 0.500 0.500 0.500
Ag 0.000 0.000 0.000
W 0.000 0.500 0.000
W 0.000 0.000 0.500
W 0.500 0.000 0.000

=====

Entry 3:
Density functional theory data (GGA-PBE) for a geometry-optimized CaAg2W structure.

Calculated values
* DFT formation energy: 0.551 eV per atom
* crystal system: orthorhombic
* space group: Pmm2
* total moment: 0.95 μB/f.u.

Cell: 5.008 2.909 5.263 Å, 90.00 90.00 90.00°
Fractional positions:
Ca 0.000 0.625 0.440
Ag 0.000 0.125 0.935
Ag 0.500 0.125 0.301
W 0.500 0.625 0.824

=====

Entry 4:
Density functional theory data (GGA-PBE) for a geometry-optimized CaAg2W structure.

Calculated values
* DFT formation energy: 0.724 eV per atom
* crystal system: cubic
* space group: Fm-3m
* total moment: 2.53 μB/f.u.

Cell: 4.874 4.874 4.874 Å, 60.00 60.00 60.00°
Fractional positions:
Ca 0.000 0.000 0.000
Ag 0.250 0.250 0.250
Ag 0.750 0.750 0.750
W 0.500 0.500 0.500

=====

Entry 5:
Density functional theory data (GGA-PBE) for a geometry-optimized Ca2AgW2 structure.

Calculated values
* DFT formation energy: 0.939 eV per atom
* crystal system: tetragonal
* space group: P4/mbm
* total moment: 0.00 μB/f.u.

Cell: 8.743 8.743 3.147 Å, 90.00 90.00 90.00°
Fractional positions:
Ca 0.200 0.700 0.500
Ca 0.700 0.800 0.500
Ca 0.800 0.300 0.500
Ca 0.300 0.200 0.500
Ag 0.000 0.000 0.000
Ag 0.500 0.500 0.000
W 0.409 0.909 0.000
W 0.909 0.591 0.000
W 0.591 0.091 0.000
W 0.091 0.409 0.000

=====

Entry 6:
Density functional theory data (GGA-PBE) for a geometry-optimized CaAg2W structure.

Calculated values
* DFT formation energy: 0.635 eV per atom
* crystal system: monoclinic
* space group: C2/m
* total moment: 0.01 μB/f.u.

Cell: 5.006 5.006 6.001 Å, 84.44 84.44 32.80°
Fractional positions:
Ca 0.750 0.750 0.750
Ag 0.993 0.993 0.041
Ag 0.507 0.507 0.459
W 0.250 0.250 0.250

=====

Entry 7:
Density functional theory data (GGA-PBE) for a geometry-optimized CaAg2W structure.

Calculated values
* DFT formation energy: 0.510 eV per atom
* crystal system: tetragonal
* space group: P4/mmm
* total moment: 0.00 μB/f.u.

Cell: 2.919 2.919 8.969 Å, 90.00 90.00 90.00°
Fractional positions:
Ca 0.500 0.500 0.250
W 0.500 0.500 0.750
Ag 0.000 0.000 0.979
Ag 0.000 0.000 0.521

=====

Entry 8:
Density functional theory data (GGA-PBE) for a geometry-optimized CaAg2W structure.

Calculated values
* DFT formation energy: 1.141 eV per atom
* crystal system: tetragonal
* space group: I-42d
* total moment: 2.80 μB/f.u.

Cell: 4.326 4.326 10.314 Å, 77.89 77.89 90.00°
Fractional positions:
Ca 0.500 0.500 0.000
Ca 0.250 0.750 0.500
Ag 0.661 0.125 0.250
Ag 0.089 0.625 0.250
Ag 0.375 0.339 0.750
Ag 0.875 0.911 0.750
W 0.000 0.000 0.000
W 0.750 0.250 0.500

=====

Entry 9:
Density functional theory data (GGA-PBE) for a geometry-optimized CaAgW4 structure.

Calculated values
* DFT formation energy: 0.700 eV per atom
* crystal system: cubic
* space group: F-43m
* total moment: 0.00 μB/f.u.

Cell: 5.438 5.438 5.438 Å, 60.00 60.00 60.00°
Fractional positions:
Ca 0.000 0.000 0.000
Ag 0.750 0.750 0.750
W 0.876 0.375 0.375
W 0.375 0.375 0.876
W 0.375 0.876 0.375
W 0.375 0.375 0.375

=====

Entry 10:
Density functional theory data (GGA-PBE) for a geometry-optimized CaAg2W structure.

Calculated values
* DFT formation energy: 0.660 eV per atom
* crystal system: trigonal
* space group: R-3m
* total moment: 0.00 μB/f.u.

Cell: 10.210 10.210 10.210 Å, 16.74 16.74 16.74°
Fractional positions:
Ca 0.250 0.250 0.250
Ag 0.005 0.005 0.005
Ag 0.495 0.495 0.495
W 0.750 0.750 0.750

=====

Entry 11:
Density functional theory data (GGA-PBE) for a geometry-optimized CaAgW3 structure.

Calculated values
* DFT formation energy: 3.182 eV per atom
* crystal system: cubic
* space group: Pm-3m
* total moment: 0.00 μB/f.u.

Cell: 4.635 4.635 4.635 Å, 90.00 90.00 90.00°
Fractional positions:
Ca 0.000 0.000 0.000
Ag 0.500 0.500 0.500
W 0.000 0.500 0.000
W 0.000 0.000 0.500
W 0.500 0.000 0.000

=====

Entry 12:
Density functional theory data (GGA-PBE) for a geometry-optimized CaAg2W structure.

Calculated values
* DFT formation energy: 0.556 eV per atom
* crystal system: monoclinic
* space group: P2/m
* total moment: 0.40 μB/f.u.

Cell: 4.217 2.849 7.176 Å, 66.52 90.00 90.00°
Fractional positions:
Ca 0.500 0.250 0.250
Ag 0.000 0.036 0.964
Ag 0.000 0.464 0.536
W 0.500 0.750 0.750